# 1
VASP calculation (PBEsol) on Sr2Cd2In after structural relaxation.

a = 8.230 Å, b = 8.230 Å, c = 4.482 Å
α = 90.00°, β = 90.00°, γ = 90.00°
Atoms (fractional coordinates):
Sr (0.178, 0.322, 0.000)
Sr (0.322, 0.822, 0.000)
Sr (0.678, 0.178, 0.000)
Sr (0.822, 0.678, 0.000)
Cd (0.123, 0.623, 0.500)
Cd (0.377, 0.123, 0.500)
Cd (0.623, 0.877, 0.500)
Cd (0.877, 0.377, 0.500)
In (0.000, 0.000, 0.500)
In (0.500, 0.500, 0.500)

Values from the calculation:
total moment = 0.00 μB per formula unit
energy = -10.575 eV/f.u.
volume = 303.6 Å³/cell
space group = P4/mbm
formation energy from the elements = -304 meV per atom

=====

# 2
VASP calculation (PBEsol) on SrBiIr2Ru after structural relaxation.

a = 4.721 Å, b = 4.721 Å, c = 5.288 Å
α = 90.00°, β = 90.00°, γ = 90.00°
Atoms (fractional coordinates):
Sr (0.000, 0.000, 0.000)
Bi (0.500, 0.500, 0.000)
Ir (0.000, 0.500, 0.500)
Ir (0.500, 0.000, 0.500)
Ru (0.000, 0.000, 0.500)

Values from the calculation:
total moment = 0.00 μB per formula unit
energy = -30.813 eV/f.u.
volume = 117.9 Å³/cell
space group = P4/mmm
formation energy from the elements = 1026 meV per atom

=====

# 3
VASP calculation (PBEsol) on Ir2Se after structural relaxation.

a = 5.201 Å, b = 5.201 Å, c = 5.201 Å
α = 60.00°, β = 60.00°, γ = 60.00°
Atoms (fractional coordinates):
Ir (0.000, 0.000, 0.000)
Ir (0.000, 0.000, 0.500)
Ir (0.000, 0.500, 0.000)
Ir (0.500, 0.000, 0.000)
Se (0.375, 0.375, 0.375)
Se (0.625, 0.625, 0.625)

Values from the calculation:
total moment = 0.00 μB per formula unit
energy = -20.458 eV/f.u.
volume = 99.5 Å³/cell
space group = Fd-3m
energy relative to the lowest polymorph listed for this composition = 656 meV/atom
energy relative to the elements, uncorrected = 1.01 eV per atom

=====

# 4
VASP calculation (PBEsol) on KTa2Ru after structural relaxation.

a = 4.686 Å, b = 4.686 Å, c = 4.686 Å
α = 60.00°, β = 60.00°, γ = 60.00°
Atoms (fractional coordinates):
K (0.000, 0.000, 0.000)
Ta (0.250, 0.250, 0.250)
Ta (0.500, 0.500, 0.500)
Ru (0.750, 0.750, 0.750)

Values from the calculation:
total moment = 0.00 μB per formula unit
energy = -30.867 eV/f.u.
volume = 72.8 Å³/cell
space group = F-43m
formation energy from the elements = 1385 meV per atom
energy relative to the lowest polymorph listed for this composition = 774 meV/atom

=====

# 5
VASP calculation (PBEsol) on LiCa2MnPt after structural relaxation.

a = 5.492 Å, b = 5.492 Å, c = 4.892 Å
α = 90.00°, β = 90.00°, γ = 90.00°
Atoms (fractional coordinates):
Li (0.000, 0.000, 0.000)
Ca (0.000, 0.500, 0.500)
Ca (0.500, 0.000, 0.500)
Mn (0.500, 0.500, 0.000)
Pt (0.500, 0.500, 0.500)

Values from the calculation:
total moment = 4.22 μB per formula unit
energy = -22.850 eV/f.u.
volume = 147.6 Å³/cell
space group = P4/mmm
formation energy from the elements = 22 meV per atom

=====

# 6
VASP calculation (PBEsol) on CaMg6C after structural relaxation.

a = 3.461 Å, b = 10.179 Å, c = 10.179 Å
α = 32.41°, β = 90.00°, γ = 90.00°
Atoms (fractional coordinates):
Ca (0.000, 0.000, 0.000)
Mg (0.000, 0.001, 0.494)
Mg (0.000, 0.494, 0.001)
Mg (0.500, 0.138, 0.601)
Mg (0.500, 0.140, 0.140)
Mg (0.500, 0.596, 0.596)
Mg (0.500, 0.601, 0.138)
C (0.000, 0.339, 0.339)

Values from the calculation:
total moment = 0.00 μB per formula unit
energy = -19.439 eV/f.u.
volume = 192.2 Å³/cell
space group = Amm2
formation energy from the elements = 330 meV per atom

=====

# 7
VASP calculation (PBEsol) on MgTi after structural relaxation.

a = 2.899 Å, b = 4.854 Å, c = 10.812 Å
α = 90.00°, β = 90.00°, γ = 90.00°
Atoms (fractional coordinates):
Mg (0.250, 0.250, 0.060)
Mg (0.250, 0.750, 0.214)
Mg (0.750, 0.250, 0.786)
Mg (0.750, 0.750, 0.940)
Ti (0.250, 0.250, 0.538)
Ti (0.250, 0.750, 0.678)
Ti (0.750, 0.250, 0.322)
Ti (0.750, 0.750, 0.462)

Values from the calculation:
total moment = 0.00 μB per formula unit
energy = -9.889 eV/f.u.
volume = 152.2 Å³/cell
space group = Pmmn
formation energy from the elements = 75 meV per atom

=====

# 8
VASP calculation (PBEsol) on Li2YCoAs after structural relaxation.

a = 5.060 Å, b = 5.060 Å, c = 4.322 Å
α = 90.00°, β = 90.00°, γ = 90.00°
Atoms (fractional coordinates):
Li (0.000, 0.500, 0.000)
Li (0.500, 0.000, 0.000)
Y (0.000, 0.000, 0.000)
Co (0.000, 0.000, 0.500)
As (0.500, 0.500, 0.500)

Values from the calculation:
total moment = 0.00 μB per formula unit
energy = -17.965 eV/f.u.
volume = 110.7 Å³/cell
space group = P4/mmm
formation energy from the elements = 1127 meV per atom